# Ba3MgMn2O6 PBE with a Hubbard U relaxed
data_Ba3MgMn2O6
_cell_length_a 6.058
_cell_length_b 6.058
_cell_length_c 6.814
_cell_angle_alpha 90.00
_cell_angle_beta 90.00
_cell_angle_gamma 120.00
_space_group_name_H-M_alt 'P 1'
_space_group_IT_number 1
loop_
_space_group_symop_operation_xyz
'x,y,z'
loop_
_atom_site_label
_atom_site_fract_x
_atom_site_fract_y
_atom_site_fract_z
Ba1 0.000 0.000 0.000
Ba2 0.333 0.667 0.638
Ba3 0.667 0.333 0.362
Mg1 0.000 0.000 0.500
Mn1 0.333 0.667 0.189
Mn2 0.667 0.333 0.811
O1 0.165 0.329 0.308
O2 0.165 0.835 0.308
O3 0.329 0.165 0.692
O4 0.671 0.835 0.308
O5 0.835 0.165 0.692
O6 0.835 0.671 0.692
# - calculated total energy (eV per cell) = -76.2
# - volume (Å³/cell) = 216.6
# - space group = P-3m1
# - theoretical density (g cm⁻³) = 4.92